Density functional theory data (PBE) for an optimized crystal structure of ZrW2Cl.

a = 3.2696 Å, b = 4.9518 Å, c = 9.8970 Å
α = 90.00°, β = 90.00°, γ = 90.00°
Last column: nearest neighbours and their distance in Å.
Space group Cmm2 (No. 35)
Inequivalent atoms, fractional coordinates:
1 Zr 0.0000 0.0000 0.0000 [2 per cell]  2 Cl 2.59, 2 W 2.88
2 W 0.0000 0.0000 0.5610 [2 per cell]  2 W 2.56
3 W 0.0000 0.5000 0.7603 [2 per cell]  2 W 2.56
4 Cl 0.0000 0.5000 0.2027 [2 per cell]  2 Zr 2.59

Summary:
For the energy relative to the elements, uncorrected, the calculation gives 1.3 kcal/mol of atoms. The value obtained for the density of states at the Fermi level is 5.43 states/eV per cell. The calculated volume comes out at 20.0 Å³ per atom. The value obtained for the energy relative to the lowest polymorph listed for this composition is 0.36 eV/f.u. For the calculated density, the calculation gives 10.2 g/cm³.

=====

Density functional theory data (PBE) for an optimized crystal structure of Zr2Sc3Sn.

a = 6.1515 Å, b = 15.8215 Å, c = 5.8139 Å
α = 90.00°, β = 90.00°, γ = 90.00°
Last column: nearest neighbours and their distance in Å.
Space group Cmcm (No. 63)
Inequivalent atoms, fractional coordinates:
1 Zr 0.2456 0.0000 0.0000 [8 per cell]  4 Zr 2.91-3.13, 4 Sc 3.11-3.14, 2 Sn 3.19
2 Sc 0.0000 0.1479 0.2500 [4 per cell]  2 Sn 3.08, 4 Zr 3.14, 6 Sc 3.21-3.31
3 Sc 0.2487 0.1741 0.7500 [8 per cell]  5 Sc 3.06-3.31, 2 Zr 3.11, 3 Sn 3.18-3.31
4 Sn 0.0000 0.3500 0.7500 [4 per cell]  8 Sc 3.08-3.31, 4 Zr 3.19

Summary:
Its formation energy is -0.091 eV/atom. The value obtained for the density of states at the Fermi level is 35.07 states/eV per cell. The calculated volume comes out at 23.6 Å³ per atom. For the calculated density, the calculation gives 5.1 g/cm³.

=====

Density functional theory data (PBE) for an optimized crystal structure of Rb2PmHoSe4.

a = 7.4268 Å, b = 4.2878 Å, c = 8.3772 Å
α = 90.00°, β = 107.17°, γ = 90.00°
Last column: nearest neighbours and their distance in Å.
Space group P2/m (No. 10)
Inequivalent atoms, fractional coordinates:
1 Rb 0.0000 0.0000 0.0000 [1 per cell]  6 Se 3.49
2 Rb 0.5000 0.5000 0.0000 [1 per cell]  6 Se 3.44
3 Pm 0.0000 0.5000 0.5000 [1 per cell]  6 Se 2.96-2.97
4 Ho 0.5000 0.0000 0.5000 [1 per cell]  6 Se 2.90-2.91
5 Se 0.2394 0.0000 0.6987 [2 per cell]  1 Ho 2.90, 2 Pm 2.96
6 Se 0.2745 0.5000 0.3041 [2 per cell]  2 Ho 2.91, 1 Pm 2.97

Summary:
For the energy relative to the elements, uncorrected, the calculation gives -40.0 kcal/mol of atoms. The value obtained for the density of states at the Fermi level is 0.00 states/eV per cell. The calculated volume comes out at 31.9 Å³ per atom. For the calculated density, the calculation gives 5.2 g/cm³.

=====

Density functional theory data (PBE) for an optimized crystal structure of As5W3.

a = 7.7106 Å, b = 4.9184 Å, c = 8.1406 Å
α = 90.00°, β = 104.05°, γ = 90.00°
Last column: nearest neighbours and their distance in Å.
Space group Pm (No. 6)
Inequivalent atoms, fractional coordinates:
1 As 0.0000 0.0000 0.0000 [1 per cell]  5 W 2.58-2.75
2 As 0.0087 0.5000 0.3089 [1 per cell]  5 W 2.73-2.84, 2 As 2.92
3 As 0.1868 0.5000 0.9502 [1 per cell]  4 W 2.49-2.75
4 As 0.3165 0.0000 0.6123 [1 per cell]  3 W 2.46-2.63, 1 As 2.60
5 As 0.5473 0.0000 0.4272 [1 per cell]  1 As 2.60, 3 W 2.69-2.70
6 As 0.5647 0.5000 0.6732 [1 per cell]  5 W 2.69-2.81
7 As 0.5836 0.2544 0.0774 [2 per cell]  2 As 2.42-2.50, 4 W 2.52-2.69
8 As 0.9097 0.2415 0.5959 [2 per cell]  2 As 2.38-2.54, 2 W 2.54-2.59
9 W 0.2109 0.5000 0.6504 [1 per cell]  6 As 2.49-2.69
10 W 0.3136 0.0000 0.9138 [1 per cell]  6 As 2.46-2.69
11 W 0.6729 0.5000 0.3814 [1 per cell]  8 As 2.54-2.79
12 W 0.6944 0.0000 0.7624 [1 per cell]  7 As 2.66-2.87
13 W 0.8370 0.5000 0.9740 [1 per cell]  7 As 2.60-2.81
14 W 0.8525 0.0000 0.2521 [1 per cell]  5 As 2.54-2.73

Summary:
Its formation energy is 0.335 eV/atom. The value obtained for the density of states at the Fermi level is 9.14 states/eV per cell. The calculated volume comes out at 18.7 Å³ per atom. The value obtained for the energy relative to the lowest polymorph listed for this composition is 0.21 eV/f.u. For the calculated density, the calculation gives 10.3 g/cm³.

=====

Density functional theory data (PBE) for an optimized crystal structure of Sr2CaCo2.

a = 7.8792 Å, b = 7.8792 Å, c = 4.6410 Å
α = 90.00°, β = 90.00°, γ = 90.00°
Last column: nearest neighbours and their distance in Å.
Space group P4/mbm (No. 127)
Inequivalent atoms, fractional coordinates:
1 Sr 0.1703 0.3297 0.0000 [4 per cell]  6 Co 3.19-3.47
2 Ca 0.0000 0.0000 0.5000 [2 per cell]  4 Co 3.26
3 Co 0.0983 0.5983 0.5000 [4 per cell]  1 Co 2.19

Summary:
Its formation energy is 0.326 eV/atom. The value obtained for the density of states at the Fermi level is 24.42 states/eV per cell. The calculated volume comes out at 28.8 Å³ per atom. For the calculated density, the calculation gives 3.8 g/cm³.

=====

Density functional theory data (PBE) for an optimized crystal structure of YPaSi4.

a = 7.5021 Å, b = 7.5021 Å, c = 7.5021 Å
α = 90.00°, β = 90.00°, γ = 90.00°
Last column: nearest neighbours and their distance in Å.
Space group F-43m (No. 216)
Inequivalent atoms, fractional coordinates:
1 Y 0.0000 0.0000 0.0000 [4 per cell]  12 Si 3.11, 4 Pa 3.25
2 Pa 0.2500 0.2500 0.7500 [4 per cell]  12 Si 3.12, 4 Y 3.25
3 Si 0.1273 0.1273 0.3727 [16 per cell]  6 Si 2.60-2.70

Summary:
For the energy relative to the elements, uncorrected, the calculation gives -5.9 kcal/mol of atoms. The value obtained for the density of states at the Fermi level is 21.04 states/eV per cell. The calculated volume comes out at 17.6 Å³ per atom. The value obtained for the energy relative to the lowest polymorph listed for this composition is 0.60 eV/f.u. For the calculated density, the calculation gives 6.8 g/cm³.